Record 1
## CdPb5 (PBE)

Data for crystalline CdPb5 at its relaxed geometry.

extended XYZ file:
```
6
Lattice="-1.2729 2.4855 -2.2300 -3.3056 -1.2758 0.4648 -1.8773 8.8468 10.9321" Properties=species:S:1:pos:R:3 pbc="T T T"
Pb -2.8994 3.4799 2.6702
Pb -0.2853 1.3447 1.6616
Pb -1.5920 7.5021 9.2705
Pb -0.9387 4.4234 5.4661
Cd -2.2892 0.6048 -0.8826
Pb -3.5565 6.5765 6.4967
```

Calculated values
**E**: -3.225 eV per atom
**Size of the total moment**: 0.0 μB/f.u.
**Space-group type**: No. 123


Record 2
## CdPb3 (PBE)

Data for crystalline CdPb3 at its relaxed geometry.

extended XYZ file:
```
8
Lattice="6.8560 0.2304 0.0000 -3.0911 6.1240 0.0000 0.0000 0.0000 5.5888" Properties=species:S:1:pos:R:3 pbc="T T T"
Cd 3.4887 2.2255 4.1916
Pb 5.2556 1.1786 1.3972
Pb 0.0648 2.1781 4.1916
Pb 1.8856 5.2513 4.1916
Cd 0.2762 4.1289 1.3972
Pb 1.8793 1.1031 1.3972
Pb 3.7001 4.1762 1.3972
Pb -1.4908 5.1758 4.1916
```

Calculated values
**E**: -2.958 eV per atom
**Size of the total moment**: 0.0 μB/f.u.
**Space-group type**: No. 63


> What is the formula in the first record?

CdPb5